## La8Tb4Ho (PBE)

Data for a relaxed La8Tb4Ho crystal.

## Properties
- D(E_F) (states/eV/cell) = 70.831
- raw total energy (eV/cell) = -171.07

Geometry as CIF:
```
data_La8Tb4Ho
_symmetry_space_group_name_H-M 'R -3 m'
_symmetry_Int_Tables_number 166
_symmetry_space_group_name_Hall '-R 3 2"'
_cell_length_a 11.3419
_cell_length_b 11.3419
_cell_length_c 13.6177
_cell_angle_alpha 90.00
_cell_angle_beta 90.00
_cell_angle_gamma 120.00
loop_
_atom_site_label
_atom_site_fract_x
_atom_site_fract_y
_atom_site_fract_z
La1 0.0000 0.0000 0.2370
La2 0.0125 0.5062 0.7424
Tb1 0.0000 0.0000 0.0000
Tb2 0.0000 0.5000 0.0000
Ho1 0.0000 0.0000 0.5000
```